No. 1
Here is a PBEsol-optimized structure of Na4CuAs2O8 from the Alexandria database. Energies are from meta-GGA SCAN.

The value obtained for the uncorrected formation energy is -1.6805 eV per atom. The crystal system is triclinic.

Unit cell a=4.8587 b=5.8984 c=6.9505 alpha=98.14 beta=90.77 gamma=106.07
With the nearest neighbours (Å) after each atom.
Sites, in units of the cell vectors:
O  0.6850  0.2696  0.5085  1 As 1.70
O  0.3150  0.7304  0.4915  1 As 1.70
O  0.3234  0.0644  0.8365  1 As 1.73, 1 Cu 1.94
O  0.2280  0.1454  0.2406  1 As 1.74, 1 Cu 1.94
O  0.7632  0.4346  0.1564  1 As 1.71
O  0.7720  0.8546  0.7594  1 As 1.74, 1 Cu 1.94
O  0.6766  0.9356  0.1635  1 As 1.73, 1 Cu 1.94
O  0.2368  0.5654  0.8436  1 As 1.71
As  0.4015  0.8053  0.7344  4 O 1.70-1.74
As  0.5985  0.1947  0.2656  4 O 1.70-1.74
Na  0.7159  0.4326  0.8326  4 O 2.26-2.47
Na  0.8387  0.7438  0.4206  5 O 2.34-2.58
Na  0.1613  0.2562  0.5794  5 O 2.34-2.58
Na  0.2841  0.5674  0.1674  4 O 2.26-2.47
Cu  0.0000  0.0000  0.0000  4 O 1.94


No. 2
Here is a PBEsol-optimized structure of Sc2MnAl from the Alexandria database. Energies are from meta-GGA SCAN.

The formation energy is -0.26 eV per atom. The crystal system is tetragonal.

Unit cell a=3.2041 b=3.2041 c=6.7274 alpha=90.00 beta=90.00 gamma=90.00
With the nearest neighbours (Å) after each atom.
Sites, in units of the cell vectors:
Sc  0.0000  0.0000  0.7230  4 Mn 2.72, 4 Al 2.93, 1 Sc 3.00
Sc  0.0000  0.0000  0.2770  4 Mn 2.72, 4 Al 2.93, 1 Sc 3.00
Mn  0.5000  0.5000  0.5000  8 Sc 2.72
Al  0.5000  0.5000  0.0000  8 Sc 2.93, 4 Al 3.20


No. 3
Here is a PBEsol-optimized structure of LiTa2Se from the Alexandria database. Energies are from meta-GGA SCAN.

The value obtained for the uncorrected formation energy is 0.1529 eV per atom. The crystal system is orthorhombic.

Unit cell a=3.1343 b=4.5972 c=5.2379 alpha=116.03 beta=107.41 gamma=90.00
With the nearest neighbours (Å) after each atom.
Sites, in units of the cell vectors:
Ta  0.7557  0.2557  0.5115  4 Se 2.79, 4 Li 2.88-3.06, 4 Ta 2.94-3.02
Ta  0.9761  0.9761  0.9522  2 Se 2.61, 4 Li 2.82
Li  0.5276  0.5276  0.0552  2 Se 2.46
Se  0.2406  0.7406  0.4811  2 Li 2.46, 2 Ta 2.61


No. 4
Here is a PBEsol-optimized structure of LaYCd2 from the Alexandria database. Energies are from meta-GGA SCAN.

The calculation puts the offset from the most stable computed form at 123.7 meV per atom. The formation energy is -0.33 eV per atom. The crystal system is orthorhombic.

Unit cell a=3.6892 b=5.2837 c=6.3079 alpha=114.76 beta=107.00 gamma=90.00
With the nearest neighbours (Å) after each atom.
Sites, in units of the cell vectors:
Cd  0.7258  0.2258  0.4516  2 Cd 2.89
Cd  0.0211  0.0211  0.0422  2 Cd 2.89
La  0.4889  0.4889  0.9778  6 Cd 3.24-3.40, 4 Y 3.51-3.59
Y  0.2642  0.7642  0.5283  6 Cd 3.25-3.34, 4 La 3.51-3.59


| no. | D(E_F) (states/eV/atom) | volume (Å³/atom) |
| --- | --- | --- |
| 1 | 0.00 | 12.613 |
| 2 | 0.83 | 17.267 |
| 3 | 0.74 | 15.987 |
| 4 | 0.85 | 26.427 |